[1]
This record from the Alexandria database describes an optimized crystal structure of ZnInTc3. The functional is GGA-PBE.

The structure belongs to space group Pm-3m (No. 221); the cell edges are 4.996, 4.996 and 4.996 Å and the angles 90.00°, 90.00° and 90.00°. Symmetry generates all atoms from Zn at (0.000, 0.000, 0.000), In at (0.500, 0.500, 0.500) and Tc at (0.000, 0.500, 0.500).

The value obtained for the total energy is -4.7126 eV/atom. Its total moment is 8.0 μB/f.u. Its crystal system is cubic. As for the formation enthalpy at 0 K: 2.3095 eV per atom. The value obtained for the energy above the most stable polymorph in this dataset is 0.8543 eV per atom.

[2]
This record from the Alexandria database describes an optimized crystal structure of ZnIn2Tc. The functional is GGA-PBE.

The structure belongs to space group I4/mmm (No. 139); the cell edges are 4.081, 4.081 and 8.670 Å and the angles 90.00°, 90.00° and 90.00°. Symmetry generates all atoms from Zn at (0.000, 0.000, 0.000), In at (0.000, 0.500, 0.250) and Tc at (0.000, 0.000, 0.500).

The value obtained for the total energy is -4.1033 eV/atom. Its total moment is 0.9 μB/f.u. Its crystal system is tetragonal. As for the formation enthalpy at 0 K: 0.1759 eV per atom.

[3]
This record from the Alexandria database describes an optimized crystal structure of ZnIn2Tc. The functional is GGA-PBE.

The structure belongs to space group P2/m (No. 10); the cell edges are 2.896, 4.843 and 5.335 Å and the angles 90.00°, 90.91° and 90.00°. Symmetry generates all atoms from Zn at (0.000, 0.000, 0.000), In at (0.198, 0.500, 0.255) and Tc at (0.500, 0.000, 0.500).

The value obtained for the total energy is -3.9095 eV/atom. Its total moment is 0.0 μB/f.u. Its crystal system is monoclinic. As for the formation enthalpy at 0 K: 0.3697 eV per atom.

[4]
This record from the Alexandria database describes an optimized crystal structure of Zn4InTc. The functional is GGA-PBE.

The structure belongs to space group F-43m (No. 216); the cell edges are 7.166, 7.166 and 7.166 Å and the angles 90.00°, 90.00° and 90.00°. Symmetry generates all atoms from Zn at (0.124, 0.124, 0.376), In at (0.000, 0.000, 0.000) and Tc at (0.250, 0.250, 0.750).

The value obtained for the total energy is -2.8405 eV/atom. Its total moment is 0.0 μB/f.u. Its crystal system is cubic. As for the formation enthalpy at 0 K: 0.1929 eV per atom.